No. 1
A geometry-optimized Y3Al2Fe7 structure. Source: Alexandria, functional GGA-PBE.

The calculation puts the density of states at the Fermi level at 9.05 states/eV/f.u. The calculated formation energy comes out at -204 meV per atom.

The structure belongs to space group R-3m (No. 166, hexagonal axes); the cell edges are 5.1844, 5.1844 and 24.3802 Å and the angles 90.00°, 90.00° and 120.00°. The asymmetric unit holds Y at (0.0000, 0.0000, 0.0000), Y at (0.0000, 0.0000, 0.1406), Al at (0.0000, 0.0000, 0.3327), Fe at (0.0000, 0.0000, 0.5000) and Fe at (0.0028, 0.5014, 0.0831).

---

No. 2
A geometry-optimized Sr3HfRu structure. Source: Alexandria, functional GGA-PBE.

The offset from the most stable computed form is 847 meV/atom. The calculation puts the density of states at the Fermi level at 10.00 states/eV/f.u. The calculated formation energy comes out at 1735 meV per atom.

The structure belongs to space group Pm-3m (No. 221); the cell edges are 6.067, 6.067 and 6.067 Å and the angles 90.00°, 90.00° and 90.00°. The asymmetric unit holds Sr at (0.000, 0.000, 0.500), Hf at (0.000, 0.000, 0.000) and Ru at (0.500, 0.500, 0.500).

---

No. 3
A geometry-optimized Sc2IN structure. Source: Alexandria, functional GGA-PBE.

The calculation puts the density of states at the Fermi level at 2.15 states/eV/f.u. The value obtained for the formation energy from raw total energies is 0.021 eV/atom.

The structure belongs to space group Fm-3m (No. 225); the cell edges are 6.592, 6.592 and 6.592 Å and the angles 90.00°, 90.00° and 90.00°. The asymmetric unit holds Sc at (0.250, 0.250, 0.250), I at (0.000, 0.000, 0.000) and N at (0.000, 0.000, 0.500).